Below is a geometry-optimized Ta5Tc3H12 structure, with properties calculated at the PBE level.

Total DFT energy (no corrections)   -1027.97 eV for the cell shown
D(E_F)   89.54 states/eV per cell

Cell: 11.067 11.067 11.067 Å, 90.00 90.00 90.00°
Space group Ia-3d (No. 230)
Symmetry-distinct sites (fractional):
1 Ta 0.000 0.000 0.000
2 Ta 0.000 0.250 0.375
3 Tc 0.000 0.250 0.125
4 H 0.003 0.073 0.157